A geometry-optimized CuAs2O6F structure, computed with PBE-GGA.

Output
Energy relative to the elements, uncorrected = -842.0 kJ/mol of formula units
Space-group type = C2/c, No. 15

```
20
Lattice="5.708 -6.128 0.000 5.708 6.128 0.000 -1.718 0.000 4.133" Properties=species:S:1:pos:R:3 pbc="T T T"
Cu 4.419 3.551 3.100
Cu 5.278 -3.551 1.033
As 2.353 1.060 1.916
As 1.494 -1.060 3.982
As 8.204 1.060 0.151
As 7.345 -1.060 2.217
O 0.697 1.109 1.577
O 2.991 2.292 2.857
O -0.163 -1.109 3.644
O 3.408 0.594 0.573
O 2.549 -0.594 2.639
O 5.848 2.292 3.342
O 3.850 -2.292 0.791
O 7.149 0.594 1.494
O 6.290 -0.594 3.561
O 9.860 1.109 0.489
O 6.707 -2.292 1.276
O 9.001 -1.109 2.556
F 5.278 3.549 1.033
F 4.419 -3.549 3.100
```